Ho3Er4ScSe8: relaxed, PBE.

Geometry as extended XYZ:
```
16
Lattice="-1.317 7.668 2.081 -7.837 -1.604 0.949 5.507 -4.354 3.947" Properties=species:S:1:pos:R:3 pbc="T T T"
Ho -4.577 3.032 1.515
Se -6.175 0.685 1.228
Ho -1.824 0.855 3.488
Er 2.095 1.657 3.014
Se -4.119 2.367 4.256
Er 0.000 0.000 0.000
Se 3.198 -2.874 4.691
Se -0.176 3.165 3.812
Ho -1.165 -2.979 2.448
Sc -3.919 -0.802 0.475
Se -6.845 4.584 2.286
Se 0.472 -0.657 2.721
Se 2.528 1.025 5.749
Er -0.659 3.834 1.040
Er 2.754 -2.177 1.973
Se -3.471 -1.455 3.165
```

Calculated values
Its raw total energy is -5.8197 eV per atom. Its uncorrected formation energy is -26.9 eV/f.u. Its density of states at the Fermi level is 10.86 states/eV/cell.



PuZrAu2: relaxed, PBE.

Geometry as extended XYZ:
```
4
Lattice="3.097 0.000 0.000 0.000 5.303 0.000 0.000 0.000 5.303" Properties=species:S:1:pos:R:3 pbc="T T T"
Pu 1.548 0.000 0.000
Au 0.000 2.652 0.000
Au 0.000 0.000 2.652
Zr 1.548 2.652 2.652
```

Calculated values
The calculated formation energy comes out at -0.394 eV per atom. Its raw total energy is -7.7522 eV per atom. Its density of states at the Fermi level is 10.19 states/eV/cell. For the excess energy over the best structure of this formula in the dataset, the calculation gives 0.14 eV/f.u.



Be2NbAl2: relaxed, PBE.

Geometry as extended XYZ:
```
10
Lattice="-6.284 -2.536 -1.587 -0.999 -1.700 6.675 -1.130 2.507 0.469" Properties=species:S:1:pos:R:3 pbc="T T T"
Al -6.071 -3.273 2.865
Al -4.124 -1.839 -0.107
Be -2.847 0.121 0.785
Al -3.159 -2.397 5.195
Nb -3.642 -2.118 2.544
Al -1.212 -0.963 2.223
Be -6.164 -1.443 1.158
Be -2.249 -0.286 4.399
Be -5.566 -1.850 4.772
Nb 0.000 0.000 0.000
```

Calculated values
The calculated formation energy comes out at 0.077 eV per atom. Its raw total energy is -4.9245 eV per atom. Its density of states at the Fermi level is 2.74 states/eV/cell. For the excess energy over the best structure of this formula in the dataset, the calculation gives 0.65 eV/f.u.



no.,total moment (μB per formula unit)
1,0.0
2,5.8
3,0.0